DFT (PBE) results for an optimized crystal structure of Rb3FeC.

The structure in POSCAR format:
```
Rb3FeC
1.0
5.9736 0.0000 0.0000
0.0000 5.9736 0.0000
0.0000 0.0000 5.9736
Rb Fe C
3 1 1
Direct
0.0000 0.0000 0.5000
0.0000 0.5000 0.0000
0.5000 0.0000 0.0000
0.5000 0.5000 0.5000
0.0000 0.0000 0.0000
```

Summary:
ΔE_f ... 1.6020 eV/atom
Uncorrected energy ... -2.52 eV per atom
Crystal system ... cubic
Distance to the lowest polymorph of the same formula ... 0.00 eV/f.u.